V2ZnO4: relaxed, GGA+U.

Summary:
- Uncorrected energy: -6.92 eV/atom
- Total magnetic moment: 4.00 μB per formula unit

```
data_V2ZnO4
_chemical_formula_sum 'V4 Zn2 O8'
_cell_length_a 5.113
_cell_length_b 5.113
_cell_length_c 10.063
_cell_angle_alpha 90.00
_cell_angle_beta 90.00
_cell_angle_gamma 146.46
_symmetry_space_group_name_H-M 'P 1'
_symmetry_Int_Tables_number 1
loop_
_symmetry_equiv_pos_as_xyz
'x,y,z'
loop_
_atom_site_label
_atom_site_fract_x
_atom_site_fract_y
_atom_site_fract_z
V1 0.133 0.867 0.072
V2 0.867 0.133 0.928
V3 0.133 0.867 0.428
V4 0.867 0.133 0.572
Zn1 0.609 0.391 0.750
Zn2 0.391 0.609 0.250
O1 0.769 0.231 0.387
O2 0.231 0.769 0.613
O3 0.231 0.769 0.887
O4 0.769 0.231 0.113
O5 0.035 0.965 0.250
O6 0.965 0.035 0.750
O7 0.500 0.500 0.000
O8 0.500 0.500 0.500
```